Record 1
# Mg5Tl4Ag

An optimized crystal structure of Mg5Tl4Ag (PBE, Alexandria via LeMat-Bulk).

a b c (Å): 3.565 3.565 18.492
angles (deg): 90.00 90.00 90.00
Fractional coordinates of all 10 atoms:
Mg: 0.000 0.000 0.000
Mg: 0.000 0.000 0.212
Mg: 0.000 0.000 0.418
Mg: 0.000 0.000 0.582
Mg: 0.000 0.000 0.788
Tl: 0.500 0.500 0.105
Tl: 0.500 0.500 0.313
Tl: 0.500 0.500 0.687
Tl: 0.500 0.500 0.895
Ag: 0.500 0.500 0.500

- DFT total energy (eV per atom) = -2.09
- ΔH_f (0 K) (meV/atom) = -63
- space-group type = P4/mmm (123)
- volume (Å³/cell) = 235.01

Record 2
# MgTlAg2

An optimized crystal structure of MgTlAg2 (PBE, Alexandria via LeMat-Bulk).

a b c (Å): 5.096 5.096 3.351
angles (deg): 90.00 90.00 106.11
Fractional coordinates of all 4 atoms:
Mg: 0.000 0.000 0.000
Tl: 0.500 0.500 0.000
Ag: 0.000 0.500 0.500
Ag: 0.500 0.000 0.500

- DFT total energy (eV per atom) = -2.41
- ΔH_f (0 K) (meV/atom) = 5
- space-group type = Cmmm (65)
- volume (Å³/cell) = 83.60

Record 3
# MgTl2Ag

An optimized crystal structure of MgTl2Ag (PBE, Alexandria via LeMat-Bulk).

a b c (Å): 3.355 5.047 5.868
angles (deg): 90.00 96.03 90.00
Fractional coordinates of all 4 atoms:
Mg: 0.000 0.000 0.000
Tl: 0.275 0.500 0.744
Tl: 0.725 0.500 0.256
Ag: 0.500 0.000 0.500

- DFT total energy (eV per atom) = -2.22
- ΔH_f (0 K) (meV/atom) = 76
- space-group type = P2/m (10)
- volume (Å³/cell) = 98.81

Record 4
# Mg4TlAg5

An optimized crystal structure of Mg4TlAg5 (PBE, Alexandria via LeMat-Bulk).

a b c (Å): 3.403 3.403 16.709
angles (deg): 90.00 90.00 90.00
Fractional coordinates of all 10 atoms:
Mg: 0.000 0.000 0.096
Mg: 0.000 0.000 0.288
Mg: 0.000 0.000 0.712
Mg: 0.000 0.000 0.904
Tl: 0.000 0.000 0.500
Ag: 0.500 0.500 0.000
Ag: 0.500 0.500 0.193
Ag: 0.500 0.500 0.379
Ag: 0.500 0.500 0.621
Ag: 0.500 0.500 0.807

- DFT total energy (eV per atom) = -2.47
- ΔH_f (0 K) (meV/atom) = -165
- space-group type = P4/mmm (123)
- volume (Å³/cell) = 193.48